(1)
Entry from Alexandria: crystalline Cr3AgAu at its relaxed geometry (GGA-PBE).

abc: 5.005 5.005 5.005
angles: 90.00 90.00 90.00
Atoms (fractional coordinates):
Cr 0.000 0.000 0.500
Cr 0.000 0.500 0.000
Cr 0.500 0.000 0.000
Ag 0.500 0.500 0.500
Au 0.000 0.000 0.000

Properties
* crystal system: cubic
* V: 25.1 Å³/atom
* final energy: -5.680 eV/atom

=====

(2)
Entry from Alexandria: crystalline YNi2Ir2 at its relaxed geometry (GGA-PBE).

abc: 4.137 4.137 9.906
angles: 90.00 90.00 90.00
Atoms (fractional coordinates):
Y 0.000 0.000 0.000
Y 0.500 0.500 0.500
Ni 0.000 0.500 0.250
Ni 0.000 0.500 0.750
Ni 0.500 0.000 0.250
Ni 0.500 0.000 0.750
Ir 0.000 0.000 0.380
Ir 0.000 0.000 0.620
Ir 0.500 0.500 0.120
Ir 0.500 0.500 0.880

Properties
* crystal system: tetragonal
* V: 17.0 Å³/atom
* final energy: -7.378 eV/atom

=====

It is found that the formation energy values, taken in the order of the records, are 6.6, -1.1 eV per formula unit.
It is found that the E above lowest polymorph values, taken in the order of the records, are 0, 0 meV per atom.